(1)
## NaFeAs (PBE)

Data for a relaxed NaFeAs crystal.

Cell: 6.2056 6.2056 6.2056 Å, 90.00 90.00 90.00°
With the nearest neighbours (Å) after each atom.
Positions (direct):
Na1 0.0000 0.0000 0.0000  4 Fe 2.69, 4 As 2.69
Na2 0.0000 0.5000 0.5000  4 Fe 2.69, 4 As 2.69
Na3 0.5000 0.0000 0.5000  4 Fe 2.69, 4 As 2.69
Na4 0.5000 0.5000 0.0000  4 Fe 2.69, 4 As 2.69
Fe1 0.2500 0.2500 0.2500  4 Na 2.69
Fe2 0.2500 0.7500 0.7500  4 Na 2.69
Fe3 0.7500 0.2500 0.7500  4 Na 2.69
Fe4 0.7500 0.7500 0.2500  4 Na 2.69
As1 0.2500 0.2500 0.7500  4 Na 2.69
As2 0.2500 0.7500 0.2500  4 Na 2.69
As3 0.7500 0.2500 0.2500  4 Na 2.69
As4 0.7500 0.7500 0.7500  4 Na 2.69

## Properties
space group: F-43m


(2)
## CsLuCoSe3 (PBE)

Data for a relaxed CsLuCoSe3 crystal.

Cell: 16.4113 4.0048 10.7704 Å, 90.00 90.00 90.00°
With the nearest neighbours (Å) after each atom.
Positions (direct):
Cs1 0.2350 0.2500 0.0201  7 Se 3.56-3.84
Cs2 0.2650 0.7500 0.5201  7 Se 3.56-3.84
Cs3 0.7350 0.2500 0.4799  7 Se 3.56-3.84
Cs4 0.7650 0.7500 0.9799  7 Se 3.56-3.84
Lu1 0.0198 0.2500 0.3470  6 Se 2.75-2.89
Lu2 0.4802 0.7500 0.8470  6 Se 2.75-2.89
Lu3 0.5198 0.2500 0.1530  6 Se 2.75-2.89
Lu4 0.9802 0.7500 0.6530  6 Se 2.75-2.89
Co1 0.0121 0.7500 0.0856  4 Se 2.32-2.42
Co2 0.4879 0.2500 0.5856  4 Se 2.32-2.42
Co3 0.5121 0.7500 0.4144  4 Se 2.32-2.42
Co4 0.9879 0.2500 0.9144  4 Se 2.32-2.42
Se1 0.0663 0.7500 0.8870  3 Co 2.32-2.40
Se2 0.0900 0.2500 0.5790  3 Lu 2.75-2.81
Se3 0.1181 0.7500 0.2422  1 Co 2.42
Se4 0.3819 0.2500 0.7422  1 Co 2.42
Se5 0.4100 0.7500 0.0790  3 Lu 2.75-2.81
Se6 0.4337 0.2500 0.3870  3 Co 2.32-2.40
Se7 0.5663 0.7500 0.6130  3 Co 2.32-2.40
Se8 0.5900 0.2500 0.9210  3 Lu 2.75-2.81
Se9 0.6181 0.7500 0.2578  1 Co 2.42
Se10 0.8819 0.2500 0.7578  1 Co 2.42
Se11 0.9100 0.7500 0.4210  3 Lu 2.75-2.81
Se12 0.9337 0.2500 0.1130  3 Co 2.32-2.40

## Properties
space group: Pnma


(3)
## PrMg4SnIr2 (PBE)

Data for a relaxed PrMg4SnIr2 crystal.

Cell: 7.0351 4.8689 14.0941 Å, 90.00 90.00 90.00°
With the nearest neighbours (Å) after each atom.
Positions (direct):
Pr1 0.0000 0.0000 0.0000  4 Ir 2.82-3.14, 1 Sn 3.06
Pr2 0.0000 0.5000 0.5000  4 Ir 2.82-3.14, 1 Sn 3.06
Mg1 0.2329 0.0000 0.7943  1 Ir 2.71
Mg2 0.2329 0.5000 0.2943  1 Ir 2.71
Mg3 0.2963 0.0000 0.5221  2 Ir 2.68-2.71, 1 Mg 2.87
Mg4 0.2963 0.5000 0.0221  2 Ir 2.68-2.71, 1 Mg 2.87
Mg5 0.7037 0.0000 0.5221  2 Ir 2.68-2.71, 1 Mg 2.87
Mg6 0.7037 0.5000 0.0221  2 Ir 2.68-2.71, 1 Mg 2.87
Mg7 0.7671 0.0000 0.7943  1 Ir 2.71
Mg8 0.7671 0.5000 0.2943  1 Ir 2.71
Sn1 0.0000 0.0000 0.2174  3 Ir 2.56-2.66
Sn2 0.0000 0.5000 0.7174  3 Ir 2.56-2.66
Ir1 0.0000 0.0000 0.3989  1 Sn 2.56, 2 Mg 2.71, 2 Pr 2.82
Ir2 0.0000 0.0000 0.6411  2 Sn 2.66, 4 Mg 2.68-2.71
Ir3 0.0000 0.5000 0.1411  2 Sn 2.66, 4 Mg 2.68-2.71
Ir4 0.0000 0.5000 0.8989  1 Sn 2.56, 2 Mg 2.71, 2 Pr 2.82

## Properties
space group: Amm2


(4)
## AlAgBi (PBE)

Data for a relaxed AlAgBi crystal.

Cell: 6.8491 6.8491 6.8491 Å, 90.00 90.00 90.00°
With the nearest neighbours (Å) after each atom.
Positions (direct):
Al1 0.0000 0.0000 0.0000  4 Bi 2.97
Al2 0.0000 0.5000 0.5000  4 Bi 2.97
Al3 0.5000 0.0000 0.5000  4 Bi 2.97
Al4 0.5000 0.5000 0.0000  4 Bi 2.97
Ag1 0.0000 0.0000 0.5000  4 Bi 2.97
Ag2 0.0000 0.5000 0.0000  4 Bi 2.97
Ag3 0.5000 0.0000 0.0000  4 Bi 2.97
Ag4 0.5000 0.5000 0.5000  4 Bi 2.97
Bi1 0.2500 0.2500 0.7500  4 Al 2.97, 4 Ag 2.97
Bi2 0.2500 0.7500 0.2500  4 Al 2.97, 4 Ag 2.97
Bi3 0.7500 0.2500 0.2500  4 Al 2.97, 4 Ag 2.97
Bi4 0.7500 0.7500 0.7500  4 Al 2.97, 4 Ag 2.97

## Properties
space group: F-43m


(5)
## CuAu3Se5 (PBE)

Data for a relaxed CuAu3Se5 crystal.

Cell: 5.4883 5.4883 8.6470 Å, 90.00 90.00 120.00°
With the nearest neighbours (Å) after each atom.
Positions (direct):
Cu1 0.0000 0.0000 0.0000  12 Se 3.36
Au1 0.0000 0.5000 0.5000  4 Au 2.74, 2 Se 2.74
Au2 0.5000 0.0000 0.5000  4 Au 2.74, 2 Se 2.74
Au3 0.5000 0.5000 0.5000  4 Au 2.74, 2 Se 2.74
Se1 0.0000 0.0000 0.5000  6 Au 2.74
Se2 0.3333 0.6667 0.1308  1 Se 2.26
Se3 0.3333 0.6667 0.8692  1 Se 2.26
Se4 0.6667 0.3333 0.1308  1 Se 2.26
Se5 0.6667 0.3333 0.8692  1 Se 2.26

## Properties
space group: P6/mmm


(6)
## Lu2Be2O5 (PBE)

Data for a relaxed Lu2Be2O5 crystal.

Cell: 3.5165 3.5165 6.5817 Å, 90.00 90.00 90.00°
With the nearest neighbours (Å) after each atom.
Positions (direct):
Lu1 0.0000 0.0000 0.0000  12 O 2.49-2.56
Lu2 0.0000 0.0000 0.5000  8 O 2.26
Be1 0.5000 0.5000 0.2385  1 O 1.57
Be2 0.5000 0.5000 0.7615  1 O 1.57
O1 0.0000 0.5000 0.2831  2 Be 1.78
O2 0.0000 0.5000 0.7169  2 Be 1.78
O3 0.5000 0.0000 0.2831  2 Be 1.78
O4 0.5000 0.0000 0.7169  2 Be 1.78
O5 0.5000 0.5000 0.0000  2 Be 1.57

## Properties
space group: P4/mmm


(7)
## Pr4B2C5 (PBE)

Data for a relaxed Pr4B2C5 crystal.

Cell: 6.9185 6.9185 9.6920 Å, 130.73 130.73 32.60°
With the nearest neighbours (Å) after each atom.
Positions (direct):
Pr1 0.0769 0.0769 0.3530  5 C 2.52-2.74
Pr2 0.3207 0.3207 0.8981  5 C 2.53-2.79, 2 B 2.73
Pr3 0.6793 0.6793 0.1019  5 C 2.53-2.79, 2 B 2.73
Pr4 0.9231 0.9231 0.6470  5 C 2.52-2.74
B1 0.3667 0.3667 0.3376  2 C 1.44-1.46
B2 0.6333 0.6333 0.6624  2 C 1.44-1.46
C1 0.0000 0.0000 0.0000  6 Pr 2.69-2.83, 2 C 2.93
C2 0.2777 0.2777 0.3757  1 B 1.46
C3 0.3936 0.3936 0.2167  1 B 1.44
C4 0.6064 0.6064 0.7833  1 B 1.44
C5 0.7223 0.7223 0.6243  1 B 1.46

## Properties
space group: C2/m


(8)
## Nb2FeAs (PBE)

Data for a relaxed Nb2FeAs crystal.

Cell: 6.2576 6.2576 6.2576 Å, 90.00 90.00 90.00°
With the nearest neighbours (Å) after each atom.
Positions (direct):
Nb1 0.0000 0.0000 0.0000  4 Nb 2.71, 4 Fe 2.71
Nb2 0.0000 0.5000 0.5000  4 Nb 2.71, 4 Fe 2.71
Nb3 0.2500 0.2500 0.2500  4 As 2.71, 4 Nb 2.71
Nb4 0.2500 0.7500 0.7500  4 As 2.71, 4 Nb 2.71
Nb5 0.5000 0.0000 0.5000  4 Nb 2.71, 4 Fe 2.71
Nb6 0.5000 0.5000 0.0000  4 Nb 2.71, 4 Fe 2.71
Nb7 0.7500 0.2500 0.7500  4 As 2.71, 4 Nb 2.71
Nb8 0.7500 0.7500 0.2500  4 As 2.71, 4 Nb 2.71
Fe1 0.2500 0.2500 0.7500  4 As 2.71, 4 Nb 2.71
Fe2 0.2500 0.7500 0.2500  4 As 2.71, 4 Nb 2.71
Fe3 0.7500 0.2500 0.2500  4 As 2.71, 4 Nb 2.71
Fe4 0.7500 0.7500 0.7500  4 As 2.71, 4 Nb 2.71
As1 0.0000 0.0000 0.5000  4 Fe 2.71, 4 Nb 2.71
As2 0.0000 0.5000 0.0000  4 Fe 2.71, 4 Nb 2.71
As3 0.5000 0.0000 0.0000  4 Fe 2.71, 4 Nb 2.71
As4 0.5000 0.5000 0.5000  4 Fe 2.71, 4 Nb 2.71

## Properties
space group: F-43m


no.,E (eV per cell)
1,-46.16
2,-119.83
3,-64.52
4,-38.47
5,-27.31
6,-67.54
7,-79.06
8,-130.02